A plane-wave DFT calculation with PBE with a Hubbard U was carried out for MnHgN2O after structural relaxation.

Computed properties:
DFT total energy: -23.78 eV for the cell shown

Structure (CIF):
```
data_MnHgN2O
_cell_length_a 3.5955
_cell_length_b 3.5955
_cell_length_c 4.4342
_cell_angle_alpha 90.00
_cell_angle_beta 90.00
_cell_angle_gamma 90.00
_symmetry_space_group_name_H-M 'P 1'
_symmetry_Int_Tables_number 1
loop_
_symmetry_equiv_pos_as_xyz
'x,y,z'
loop_
_atom_site_label
_atom_site_type_symbol
_atom_site_fract_x
_atom_site_fract_y
_atom_site_fract_z
_atom_site_occupancy
Mn1 Mn 0.0000 0.0000 0.0000 1
Hg1 Hg 0.5000 0.5000 0.5000 1
O1 O 0.0000 0.0000 0.5000 1
N1 N 0.0000 0.5000 0.0000 1
N2 N 0.5000 0.0000 0.0000 1
```